1.
Ta4Nb2Co: relaxed, PBE-GGA.

```
Ta4Nb2Co
1.0
-2.269 2.269 6.771
2.269 -2.269 6.771
2.269 2.269 -6.771
Ta Nb Co
4 2 1
direct
0.000 0.500 0.500 Ta
0.178 0.178 0.000 Ta
0.500 0.000 0.500 Ta
0.822 0.822 0.000 Ta
0.373 0.373 0.000 Nb
0.627 0.627 0.000 Nb
0.000 0.000 0.000 Co
```

Properties
ΔE_f = 934 meV/atom
Calculated density = 11.5 g/cm³

---

2.
Ta2NbCo: relaxed, PBE-GGA.

```
Ta2NbCo
1.0
3.221 0.000 0.000
0.000 3.221 0.000
0.000 0.000 6.289
Ta Nb Co
2 1 1
direct
0.000 0.000 0.236 Ta
0.000 0.000 0.764 Ta
0.500 0.500 0.500 Nb
0.500 0.500 0.000 Co
```

Properties
ΔE_f = -53 meV/atom
Calculated density = 13.1 g/cm³